Compound: Pm6Sm8Ho
Source: Alexandria
Functional: PBE
Structure: relaxed

POSCAR file:
```
Pm6Sm8Ho
1.0
9.221 0.000 0.000
4.611 7.986 0.000
4.611 2.662 6.985
Pm Sm Ho
6 8 1
Cartesian
12.438 9.518 6.117
2.587 2.220 0.868
5.240 4.635 0.868
13.203 6.013 6.117
15.856 8.428 6.117
6.005 1.130 0.868
6.286 3.791 4.054
9.082 2.016 2.931
6.426 7.099 2.931
9.221 5.324 1.869
9.222 5.324 5.116
12.017 3.549 4.054
9.361 8.632 4.054
12.157 6.857 2.931
0.000 0.000 0.000
```

Results
E_form, eV/atom: 0.115
Magnetic moment, μB/atom: 0.00
Density of states at the Fermi level, states/eV/cell: 21.544
Raw total energy, eV/cell: -69.111
Space group: R-3, No. 148
Volume, Å³/atom: 34.295